No. 1
Below is a relaxed KThSiN3 crystal, with properties calculated at the PBE level. Values from VASP.

Geometry as Quantum ESPRESSO input:
```
&SYSTEM
  ibrav = 0, nat = 12, ntyp = 4
/
ATOMIC_SPECIES
K 39.10 K.upf
Th 232.04 Th.upf
Si 28.09 Si.upf
N 14.01 N.upf
CELL_PARAMETERS angstrom
8.030 0.000 0.000
0.000 3.552 0.000
-1.490 0.000 8.199
ATOMIC_POSITIONS crystal
K 0.163 0.250 0.176
K 0.837 0.750 0.824
Th 0.369 0.750 0.839
Th 0.631 0.250 0.161
Si 0.080 0.250 0.604
Si 0.920 0.750 0.396
N 0.121 0.750 0.522
N 0.148 0.250 0.805
N 0.437 0.750 0.117
N 0.563 0.250 0.883
N 0.852 0.750 0.195
N 0.879 0.250 0.478
```


No. 2
Below is a relaxed K4U3SiN8 crystal, with properties calculated at the PBE level. Values from VASP.

Geometry as Quantum ESPRESSO input:
```
&SYSTEM
  ibrav = 0, nat = 16, ntyp = 4
/
ATOMIC_SPECIES
K 39.10 K.upf
U 238.03 U.upf
Si 28.09 Si.upf
N 14.01 N.upf
CELL_PARAMETERS angstrom
3.502 2.022 6.322
-3.502 2.022 6.322
0.000 -4.044 6.322
ATOMIC_POSITIONS crystal
K 0.000 0.000 0.000
K 0.000 0.500 0.500
K 0.500 0.000 0.500
K 0.500 0.500 0.000
U 0.000 0.000 0.500
U 0.000 0.500 0.000
U 0.500 0.000 0.000
Si 0.500 0.500 0.500
N 0.191 0.734 0.734
N 0.223 0.223 0.223
N 0.266 0.266 0.809
N 0.266 0.809 0.266
N 0.734 0.191 0.734
N 0.734 0.734 0.191
N 0.777 0.777 0.777
N 0.809 0.266 0.266
```


No. 3
Below is a relaxed K2USiN4 crystal, with properties calculated at the PBE level. Values from VASP.

Geometry as Quantum ESPRESSO input:
```
&SYSTEM
  ibrav = 0, nat = 16, ntyp = 4
/
ATOMIC_SPECIES
K 39.10 K.upf
U 238.03 U.upf
Si 28.09 Si.upf
N 14.01 N.upf
CELL_PARAMETERS angstrom
6.379 0.000 0.000
0.000 7.984 0.000
0.000 0.000 5.244
ATOMIC_POSITIONS crystal
K 0.237 0.130 0.000
K 0.263 0.870 0.500
K 0.737 0.870 0.500
K 0.763 0.130 0.000
U 0.000 0.408 0.502
U 0.500 0.592 0.002
Si 0.000 0.661 0.954
Si 0.500 0.339 0.454
N 0.000 0.455 0.070
N 0.000 0.640 0.613
N 0.243 0.762 0.011
N 0.257 0.238 0.511
N 0.500 0.360 0.113
N 0.500 0.545 0.570
N 0.743 0.238 0.511
N 0.757 0.762 0.011
```


| no. | total energy (eV per cell) | formation energy without anion corrections (meV per atom) |
| --- | --- | --- |
| 1 | -88.533 | -892 |
| 2 | -121.437 | -697 |
| 3 | -114.055 | -603 |